Below is an optimized crystal structure of TlZnBiF6, with properties calculated at the PBE level.

POSCAR file:
```
TlZnBiF6
1.0
5.9456 0.0000 0.0000
-2.9728 5.1490 0.0000
0.0000 0.0000 11.4634
Tl Zn Bi F
2 2 2 12
Direct
0.0000 0.0000 0.0000
0.0000 0.0000 0.5000
0.3333 0.6667 0.2500
0.6667 0.3333 0.7500
0.3333 0.6667 0.7500
0.6667 0.3333 0.2500
0.0256 0.3936 0.1494
0.0256 0.6321 0.3506
0.3679 0.3936 0.3506
0.3679 0.9744 0.1494
0.3936 0.0256 0.6494
0.3936 0.3679 0.8506
0.6064 0.6321 0.1494
0.6064 0.9744 0.3506
0.6321 0.0256 0.8506
0.6321 0.6064 0.6494
0.9744 0.3679 0.6494
0.9744 0.6064 0.8506
```

Computed properties:
spin magnetization: 0.000 μB per atom
DOS at the Fermi energy: 0.00 states/eV/f.u.
final energy: -4.339 eV per atom